[1]
Computed, not measured: a relaxed CsKNa2Sn crystal at the PBE level of DFT.

Properties
- D(E_F): 2.99 states/eV/f.u.
- Offset from the most stable computed form: 109 meV per atom
- Electronic total energy: -8.360 eV per cell
- Mass density: 2.0 g cm⁻³
- Formation enthalpy at 0 K: 0.046 eV per atom

The structure in extended XYZ format:
```
5
Lattice="6.2635 0.0000 0.0000 0.0000 6.2635 0.0000 0.0000 0.0000 7.1767" Properties=species:S:1:pos:R:3 pbc="T T T"
Cs 0.0000 0.0000 0.0000
K 3.1317 3.1317 0.0000
Na 0.0000 3.1317 3.5883
Na 3.1317 0.0000 3.5883
Sn 0.0000 0.0000 3.5883
```



[2]
Computed, not measured: a relaxed Ni2SbHPd crystal at the PBE level of DFT.

Properties
- D(E_F): 4.41 states/eV/f.u.
- Electronic total energy: -24.803 eV per cell
- Mass density: 9.6 g cm⁻³

The structure in extended XYZ format:
```
5
Lattice="3.9389 0.0000 0.0000 0.0000 3.9389 0.0000 0.0000 0.0000 3.8718" Properties=species:S:1:pos:R:3 pbc="T T T"
Ni 0.0000 1.9694 0.0000
Ni 1.9694 0.0000 0.0000
Sb 0.0000 0.0000 1.9359
H 1.9694 1.9694 0.0000
Pd 1.9694 1.9694 1.9359
```



[3]
Computed, not measured: a relaxed SrCuSi2Au5 crystal at the PBE level of DFT.

Properties
- D(E_F): 2.10 states/eV/f.u.
- Electronic total energy: -34.975 eV per cell
- Mass density: 10.0 g cm⁻³
- Energy relative to the elements, uncorrected: -0.218 eV/atom

The structure in extended XYZ format:
```
9
Lattice="4.5492 0.0000 0.0000 0.0000 4.5492 0.0000 0.0000 0.0000 9.5592" Properties=species:S:1:pos:R:3 pbc="T T T"
Sr 0.0000 0.0000 0.0000
Cu 0.0000 0.0000 4.7796
Si 2.2746 2.2746 2.3855
Si 2.2746 2.2746 7.1737
Au 0.0000 2.2746 3.3016
Au 0.0000 2.2746 6.2576
Au 2.2746 0.0000 3.3016
Au 2.2746 0.0000 6.2576
Au 2.2746 2.2746 0.0000
```



[4]
Computed, not measured: a relaxed ZrOsPd2 crystal at the PBE level of DFT.

Properties
- D(E_F): 2.55 states/eV/f.u.
- Offset from the most stable computed form: 73 meV per atom
- Electronic total energy: -119.799 eV per cell
- Mass density: 11.6 g cm⁻³
- Formation enthalpy at 0 K: 0.053 eV per atom

The structure in extended XYZ format:
```
16
Lattice="3.8650 0.0000 0.0000 0.0000 3.8650 0.0000 0.0000 0.0000 18.9970" Properties=species:S:1:pos:R:3 pbc="T T T"
Zr 0.0000 0.0000 0.0000
Zr 0.0000 1.9325 4.7493
Zr 1.9325 0.0000 14.2478
Zr 1.9325 1.9325 9.4985
Os 0.0000 0.0000 9.4985
Os 0.0000 1.9325 14.2478
Os 1.9325 0.0000 4.7493
Os 1.9325 1.9325 0.0000
Pd 0.9226 0.9662 11.8731
Pd 0.9662 2.8551 16.6224
Pd 0.9662 2.9424 7.1239
Pd 1.0099 0.9662 2.3746
Pd 2.8551 2.8987 2.3746
Pd 2.8987 0.9226 7.1239
Pd 2.8987 1.0099 16.6224
Pd 2.9424 2.8987 11.8731
```